(1)
An optimized crystal structure of Ag2PW. Source: Alexandria, functional PBE-GGA.

Unit cell a=2.749 b=4.683 c=5.182 alpha=90.00 beta=90.00 gamma=90.00
Space group Pmmm (No. 47)
One atom of each set of equivalent atoms:
Ag1 0.000 0.000 0.247 x2
P1 0.500 0.500 0.500 x1
W1 0.500 0.500 0.000 x1

Output
Volume: 66.7 Å³ per cell
Raw total energy: -5.37 eV/atom
ΔE_f: 248 kJ/mol of formula units

***

(2)
An optimized crystal structure of K2RbH. Source: Alexandria, functional PBE-GGA.

Unit cell a=3.939 b=3.939 c=11.778 alpha=90.00 beta=90.00 gamma=90.00
Space group P4/mmm (No. 123)
One atom of each set of equivalent atoms:
K1 0.000 0.000 0.148 x2
Rb1 0.500 0.500 0.500 x1
H1 0.500 0.500 0.000 x1

Output
Volume: 182.7 Å³ per cell
Raw total energy: -1.54 eV/atom
ΔE to the lowest computed polymorph: 97 meV/atom